# 1
An optimized crystal structure of Ho2ErPt. Source: Alexandria via LeMat-Bulk, functional PBE.

POSCAR file:
```
Ho2ErPt
1.0
1.880 -6.028 0.000
1.880 6.028 0.000
0.000 0.000 9.384
Ho Er Pt
4 2 2
direct
0.136 0.864 0.564 Ho
0.136 0.864 0.936 Ho
0.864 0.136 0.064 Ho
0.864 0.136 0.436 Ho
0.429 0.571 0.750 Er
0.571 0.429 0.250 Er
0.258 0.742 0.250 Pt
0.742 0.258 0.750 Pt
```

Calculated values
Total energy, hartree per atom: -0.2069
Total magnetic moment, μB per formula unit: 0.00
Offset from the most stable computed form, kJ/mol of formula units: 15.8
Energy of formation from the pure elements, eV per atom: -0.691

---

# 2
An optimized crystal structure of Cr2TcPt. Source: Alexandria via LeMat-Bulk, functional PBE.

POSCAR file:
```
Cr2TcPt
1.0
1.358 0.784 8.551
-1.358 0.784 8.551
0.000 -1.568 8.551
Cr Tc Pt
2 1 1
direct
0.000 0.000 0.000 Cr
0.259 0.259 0.259 Cr
0.512 0.512 0.512 Tc
0.752 0.752 0.752 Pt
```

Calculated values
Total energy, hartree per atom: -0.3234
Total magnetic moment, μB per formula unit: 1.11
Energy of formation from the pure elements, eV per atom: 0.114

---

# 3
An optimized crystal structure of SrBrO2. Source: Alexandria via LeMat-Bulk, functional PBE.

POSCAR file:
```
SrBrO2
1.0
4.360 0.000 0.000
0.000 6.114 0.000
-2.146 0.000 8.391
Sr Br O
2 2 4
direct
0.155 0.250 0.308 Sr
0.845 0.750 0.692 Sr
0.205 0.750 0.409 Br
0.795 0.250 0.591 Br
0.409 0.639 0.823 O
0.409 0.861 0.823 O
0.591 0.139 0.177 O
0.591 0.361 0.177 O
```

Calculated values
Raw formation energy, eV per atom: -1.448
Total energy, hartree per atom: -0.1751
Total magnetic moment, μB per formula unit: 1.00
Offset from the most stable computed form, kJ/mol of formula units: 0.0

---

# 4
An optimized crystal structure of KBiH4. Source: Alexandria via LeMat-Bulk, functional PBE.

POSCAR file:
```
KBiH4
1.0
3.481 0.000 0.000
-0.013 7.108 0.000
-0.013 -0.535 8.585
K Bi H
2 2 8
direct
0.000 0.000 0.000 K
0.001 0.576 0.217 K
0.501 0.161 0.360 Bi
0.503 0.441 0.777 Bi
0.493 0.897 0.746 H
0.493 0.975 0.689 H
0.501 0.427 0.423 H
0.501 0.838 0.166 H
0.503 0.301 0.958 H
0.504 0.649 0.928 H
0.986 0.709 0.538 H
0.992 0.805 0.506 H
```

Calculated values
Total energy, hartree per atom: -0.1109
Total magnetic moment, μB per formula unit: 0.00

---

# 5
An optimized crystal structure of PRh5. Source: Alexandria via LeMat-Bulk, functional PBE.

POSCAR file:
```
PRh5
1.0
5.010 0.000 0.000
-2.505 4.339 0.000
0.000 0.000 4.463
P Rh
1 5
direct
0.000 0.000 0.000 P
0.000 0.500 0.500 Rh
0.333 0.667 0.000 Rh
0.500 0.000 0.500 Rh
0.500 0.500 0.500 Rh
0.667 0.333 0.000 Rh
```

Calculated values
Total energy, hartree per atom: -0.2357
Total magnetic moment, μB per formula unit: 0.00
Offset from the most stable computed form, kJ/mol of formula units: 439.3
Energy of formation from the pure elements, eV per atom: 0.614

---

# 6
An optimized crystal structure of Sm4HgTe. Source: Alexandria via LeMat-Bulk, functional PBE.

POSCAR file:
```
Sm4HgTe
1.0
7.504 0.000 0.000
0.000 4.727 0.000
0.000 0.000 21.046
Sm Hg Te
16 4 4
direct
0.044 0.250 0.072 Sm
0.076 0.250 0.784 Sm
0.087 0.250 0.359 Sm
0.128 0.250 0.540 Sm
0.372 0.750 0.040 Sm
0.413 0.750 0.859 Sm
0.424 0.750 0.284 Sm
0.456 0.750 0.572 Sm
0.544 0.250 0.428 Sm
0.576 0.250 0.716 Sm
0.587 0.250 0.141 Sm
0.628 0.250 0.960 Sm
0.872 0.750 0.460 Sm
0.913 0.750 0.641 Sm
0.924 0.750 0.216 Sm
0.956 0.750 0.928 Sm
0.221 0.250 0.933 Hg
0.279 0.750 0.433 Hg
0.721 0.250 0.567 Hg
0.779 0.750 0.067 Hg
0.216 0.250 0.212 Te
0.284 0.750 0.712 Te
0.716 0.250 0.288 Te
0.784 0.750 0.788 Te
```

Calculated values
Raw formation energy, eV per atom: -0.559
Total energy, hartree per atom: -0.1572
Total magnetic moment, μB per formula unit: 0.00
Offset from the most stable computed form, kJ/mol of formula units: 0.0

---

# 7
An optimized crystal structure of P2Pt. Source: Alexandria via LeMat-Bulk, functional PBE.

POSCAR file:
```
P2Pt
1.0
5.580 -1.771 0.000
5.580 1.771 0.000
-5.274 0.000 5.667
P Pt
4 2
direct
0.067 0.067 0.442 P
0.382 0.382 0.950 P
0.618 0.618 0.050 P
0.933 0.933 0.558 P
0.233 0.233 0.337 Pt
0.767 0.767 0.663 Pt
```

Calculated values
Total energy, hartree per atom: -0.2086
Total magnetic moment, μB per formula unit: 0.00
Energy of formation from the pure elements, eV per atom: -0.056

---

# 8
An optimized crystal structure of Cu2SnBi2. Source: Alexandria via LeMat-Bulk, functional PBE.

POSCAR file:
```
Cu2SnBi2
1.0
-2.286 2.286 5.868
2.286 -2.286 5.868
2.286 2.286 -5.868
Cu Sn Bi
2 1 2
direct
0.101 0.101 0.000 Cu
0.899 0.899 0.000 Cu
0.500 0.500 0.000 Sn
0.250 0.750 0.500 Bi
0.750 0.250 0.500 Bi
```

Calculated values
Total energy, hartree per atom: -0.1347
Total magnetic moment, μB per formula unit: 0.00
Offset from the most stable computed form, kJ/mol of formula units: 79.6
Energy of formation from the pure elements, eV per atom: 0.326